Entry from Alexandria: an optimized crystal structure of Cs2CuRuO6 (PBE-GGA).

Summary:
DOS at the Fermi energy: 2.56 states/eV/f.u.
Spin magnetization: 0.3092 μB per atom
VASP energy: -53.6 eV for the cell shown
Space group: P-3m1

a = 6.449 Å, b = 6.449 Å, c = 5.108 Å
α = 90.00°, β = 90.00°, γ = 120.00°
Fractional coordinates of all 10 atoms:
Cs 0.333 0.667 0.232
Cs 0.667 0.333 0.768
Cu 0.000 0.000 0.000
Ru 0.000 0.000 0.500
O 0.134 0.269 0.736
O 0.134 0.866 0.736
O 0.269 0.134 0.264
O 0.731 0.866 0.736
O 0.866 0.134 0.264
O 0.866 0.731 0.264

=====

Entry from Alexandria: an optimized crystal structure of CsCuSO (PBE-GGA).

Summary:
Spin magnetization: 0.0000 μB per atom
VASP energy: -34.8 eV for the cell shown
Energy relative to the lowest polymorph listed for this composition: 0.063 eV per atom
Space group: P1

a = 4.355 Å, b = 5.830 Å, c = 8.571 Å
α = 81.84°, β = 87.95°, γ = 78.87°
Fractional coordinates of all 8 atoms:
Cs 0.000 0.000 0.000
Cs 0.253 0.084 0.455
Cu 0.384 0.490 0.992
Cu 0.725 0.557 0.759
S 0.234 0.506 0.743
S 0.663 0.508 0.204
O 0.028 0.432 0.173
O 0.589 0.776 0.227

=====

Entry from Alexandria: an optimized crystal structure of CsCuS2O8 (PBE-GGA).

Summary:
Spin magnetization: 0.1542 μB per atom
VASP energy: -68.1 eV for the cell shown
Space group: R-3

a = 9.473 Å, b = 9.473 Å, c = 9.473 Å
α = 29.79°, β = 29.79°, γ = 29.79°
Fractional coordinates of all 12 atoms:
Cs 0.000 0.000 0.000
Cu 0.500 0.500 0.500
S 0.229 0.229 0.229
S 0.771 0.771 0.771
O 0.095 0.513 0.757
O 0.243 0.905 0.487
O 0.283 0.283 0.283
O 0.487 0.243 0.905
O 0.513 0.757 0.095
O 0.717 0.717 0.717
O 0.757 0.095 0.513
O 0.905 0.487 0.243

=====

Entry from Alexandria: an optimized crystal structure of CsCuSO (PBE-GGA).

Summary:
Spin magnetization: 0.0000 μB per atom
VASP energy: -35.3 eV for the cell shown
Energy relative to the lowest polymorph listed for this composition: 0.000 eV per atom
Space group: P1

a = 4.157 Å, b = 6.947 Å, c = 7.479 Å
α = 75.68°, β = 83.65°, γ = 89.52°
Fractional coordinates of all 8 atoms:
Cs 0.000 0.000 0.000
Cs 0.064 0.593 0.666
Cu 0.127 0.203 0.435
Cu 0.520 0.466 0.227
S 0.030 0.449 0.174
S 0.588 0.114 0.583
O 0.552 0.895 0.706
O 0.556 0.251 0.723

=====

Entry from Alexandria: an optimized crystal structure of CsCuSO (PBE-GGA).

Summary:
DOS at the Fermi energy: 0.25 states/eV/f.u.
Spin magnetization: 0.0000 μB per atom
VASP energy: -34.7 eV for the cell shown
Energy relative to the lowest polymorph listed for this composition: 0.075 eV per atom
Space group: P1

a = 4.208 Å, b = 5.172 Å, c = 9.655 Å
α = 90.67°, β = 91.13°, γ = 90.75°
Fractional coordinates of all 8 atoms:
Cs 0.000 0.000 0.000
Cs 0.023 0.958 0.596
Cu 0.001 0.499 0.281
Cu 0.499 0.470 0.434
S 0.468 0.480 0.776
S 0.500 0.509 0.213
O 0.515 0.783 0.802
O 0.593 0.412 0.619

=====

Entry from Alexandria: an optimized crystal structure of CsCuSO (PBE-GGA).

Summary:
DOS at the Fermi energy: 0.00 states/eV/f.u.
Spin magnetization: 0.0000 μB per atom
VASP energy: -35.0 eV for the cell shown
Energy relative to the lowest polymorph listed for this composition: 0.028 eV per atom
Space group: P1

a = 5.660 Å, b = 5.992 Å, c = 6.721 Å
α = 84.44°, β = 88.65°, γ = 78.60°
Fractional coordinates of all 8 atoms:
Cs 0.000 0.000 0.000
Cs 0.362 0.195 0.494
Cu 0.718 0.595 0.739
Cu 0.770 0.588 0.339
S 0.490 0.473 0.978
S 0.931 0.770 0.532
O 0.419 0.244 0.937
O 0.671 0.396 0.171

=====

Entry from Alexandria: an optimized crystal structure of CsCuSO (PBE-GGA).

Summary:
DOS at the Fermi energy: 0.00 states/eV/f.u.
Spin magnetization: 0.0000 μB per atom
VASP energy: -34.8 eV for the cell shown
Energy relative to the lowest polymorph listed for this composition: 0.059 eV per atom
Space group: P1

a = 4.229 Å, b = 5.753 Å, c = 8.451 Å
α = 81.21°, β = 75.58°, γ = 87.93°
Fractional coordinates of all 8 atoms:
Cs 0.000 0.000 0.000
Cs 0.267 0.930 0.511
Cu 0.380 0.446 0.207
Cu 0.711 0.447 0.566
S 0.706 0.546 0.806
S 0.829 0.430 0.304
O 0.447 0.409 0.957
O 0.604 0.815 0.784

=====

Entry from Alexandria: an optimized crystal structure of CsCuSO (PBE-GGA).

Summary:
DOS at the Fermi energy: 0.00 states/eV/f.u.
Spin magnetization: 0.0000 μB per atom
VASP energy: -35.0 eV for the cell shown
Energy relative to the lowest polymorph listed for this composition: 0.032 eV per atom
Space group: P1

a = 5.644 Å, b = 6.399 Å, c = 6.522 Å
α = 86.43°, β = 83.42°, γ = 76.82°
Fractional coordinates of all 8 atoms:
Cs 0.000 0.000 0.000
Cs 0.098 0.431 0.456
Cu 0.502 0.634 0.712
Cu 0.563 0.588 0.108
S 0.441 0.379 0.927
S 0.496 0.888 0.469
O 0.223 0.934 0.420
O 0.669 0.772 0.271

=====

Entry from Alexandria: an optimized crystal structure of Cs2CuSbO4 (PBE-GGA).

Summary:
DOS at the Fermi energy: 2.78 states/eV/f.u.
Spin magnetization: 0.0100 μB per atom
VASP energy: -39.5 eV for the cell shown
Space group: I-4

a = 6.053 Å, b = 6.053 Å, c = 6.053 Å
α = 116.28°, β = 116.28°, γ = 96.58°
Fractional coordinates of all 8 atoms:
Cs 0.000 0.000 0.000
Cs 0.750 0.250 0.500
Cu 0.500 0.500 0.000
Sb 0.250 0.750 0.500
O 0.280 0.652 0.164
O 0.348 0.512 0.628
O 0.488 0.116 0.836
O 0.884 0.720 0.372

=====

Entry from Alexandria: an optimized crystal structure of Cs2Cu2SbO6 (PBE-GGA).

Summary:
DOS at the Fermi energy: 7.12 states/eV/f.u.
Spin magnetization: 0.2531 μB per atom
VASP energy: -55.5 eV for the cell shown
Space group: R-3m

a = 7.388 Å, b = 7.388 Å, c = 7.388 Å
α = 47.19°, β = 47.19°, γ = 47.19°
Fractional coordinates of all 11 atoms:
Cs 0.210 0.210 0.210
Cs 0.790 0.790 0.790
Cu 0.388 0.388 0.388
Cu 0.612 0.612 0.612
Sb 0.000 0.000 0.000
O 0.219 0.219 0.753
O 0.219 0.753 0.219
O 0.247 0.781 0.781
O 0.753 0.219 0.219
O 0.781 0.247 0.781
O 0.781 0.781 0.247

=====

Entry from Alexandria: an optimized crystal structure of CsCuSbO2 (PBE-GGA).

Summary:
DOS at the Fermi energy: 3.08 states/eV/f.u.
Spin magnetization: 0.0000 μB per atom
VASP energy: -14.6 eV for the cell shown
Space group: P4/mmm

a = 4.423 Å, b = 4.423 Å, c = 5.609 Å
α = 90.00°, β = 90.00°, γ = 90.00°
Fractional coordinates of all 5 atoms:
Cs 0.000 0.000 0.000
Cu 0.000 0.000 0.500
Sb 0.500 0.500 0.500
O 0.000 0.500 0.000
O 0.500 0.000 0.000

=====

Entry from Alexandria: an optimized crystal structure of CsScCuO3 (PBE-GGA).

Summary:
DOS at the Fermi energy: 0.28 states/eV/f.u.
Spin magnetization: 0.1708 μB per atom
VASP energy: -75.1 eV for the cell shown
Space group: P2_1/m

a = 7.611 Å, b = 3.426 Å, c = 8.890 Å
α = 90.00°, β = 111.22°, γ = 90.00°
Fractional coordinates of all 12 atoms:
Cs 0.032 0.250 0.281
Cs 0.968 0.750 0.719
Sc 0.455 0.750 0.631
Sc 0.545 0.250 0.369
Cu 0.407 0.250 0.883
Cu 0.593 0.750 0.117
O 0.282 0.250 0.654
O 0.372 0.750 0.386
O 0.439 0.250 0.104
O 0.561 0.750 0.896
O 0.628 0.250 0.614
O 0.718 0.750 0.346